1.
{
  "formula": "ScHgP2S",
  "functional": "SCAN",
  "state": "PBEsol geometry",
  "cell": [[4.829, 0.000, 0.000], [0.000, 4.829, 0.000], [0.000, 0.000, 4.887]],
  "species": ["Sc", "Hg", "P", "P", "S"],
  "frac_coords": [[0.000, 0.000, 0.000], [0.500, 0.500, 0.500], [0.000, 0.500, 0.500], [0.500, 0.000, 0.500], [0.500, 0.500, 0.000]],
  "n_ef_per_ev_cell": 3.59,
  "e_form_raw_mev_per_atom": 679.1
}

2.
{
  "formula": "LiMgZn2",
  "functional": "SCAN",
  "state": "PBEsol geometry",
  "cell": [[6.222, 0.000, 0.000], [0.000, 6.222, 0.000], [0.000, 0.000, 6.222]],
  "species": ["Li", "Li", "Li", "Li", "Mg", "Mg", "Mg", "Mg", "Zn", "Zn", "Zn", "Zn", "Zn", "Zn", "Zn", "Zn"],
  "frac_coords": [[0.000, 0.000, 0.000], [0.000, 0.500, 0.500], [0.500, 0.000, 0.500], [0.500, 0.500, 0.000], [0.250, 0.250, 0.750], [0.250, 0.750, 0.250], [0.750, 0.250, 0.250], [0.750, 0.750, 0.750], [0.000, 0.000, 0.500], [0.000, 0.500, 0.000], [0.250, 0.250, 0.250], [0.250, 0.750, 0.750], [0.500, 0.000, 0.000], [0.500, 0.500, 0.500], [0.750, 0.250, 0.750], [0.750, 0.750, 0.250]],
  "delta_e_f_mev_per_atom": -224,
  "n_ef_per_ev_cell": 3.27
}

3.
{
  "formula": "HgP2PdO7",
  "functional": "SCAN",
  "state": "PBEsol geometry",
  "cell": [[7.132, -2.483, 0.000], [7.132, 2.483, 0.000], [-1.751, 0.000, 8.687]],
  "species": ["Hg", "Hg", "P", "P", "P", "P", "Pd", "Pd", "O", "O", "O", "O", "O", "O", "O", "O", "O", "O", "O", "O", "O", "O"],
  "frac_coords": [[0.000, 0.500, 0.000], [0.500, 0.000, 0.500], [0.042, 0.756, 0.725], [0.244, 0.958, 0.775], [0.756, 0.042, 0.225], [0.958, 0.244, 0.275], [0.500, 0.500, 0.000], [0.500, 0.500, 0.500], [0.014, 0.986, 0.250], [0.112, 0.249, 0.798], [0.175, 0.615, 0.879], [0.227, 0.560, 0.587], [0.249, 0.112, 0.298], [0.385, 0.825, 0.621], [0.440, 0.773, 0.913], [0.560, 0.227, 0.087], [0.615, 0.175, 0.379], [0.751, 0.888, 0.702], [0.773, 0.440, 0.413], [0.825, 0.385, 0.121], [0.888, 0.751, 0.202], [0.986, 0.014, 0.750]],
  "n_ef_per_ev_cell": 0.00,
  "e_form_raw_mev_per_atom": -1712.2
}

4.
{
  "formula": "CaHfNi3",
  "functional": "SCAN",
  "state": "PBEsol geometry",
  "cell": [[4.393, 0.000, 0.000], [0.000, 4.393, 0.000], [0.000, 0.000, 4.393]],
  "species": ["Ca", "Hf", "Ni", "Ni", "Ni"],
  "frac_coords": [[0.000, 0.000, 0.000], [0.500, 0.500, 0.500], [0.000, 0.000, 0.500], [0.000, 0.500, 0.000], [0.500, 0.000, 0.000]],
  "delta_e_f_mev_per_atom": 1249,
  "n_ef_per_ev_cell": 5.30
}

5.
{
  "formula": "LiBe",
  "functional": "SCAN",
  "state": "PBEsol geometry",
  "cell": [[9.875, 0.000, 0.000], [0.000, 2.304, 0.000], [-1.312, 0.000, 5.781]],
  "species": ["Li", "Li", "Li", "Li", "Li", "Li", "Be", "Be", "Be", "Be", "Be", "Be"],
  "frac_coords": [[0.000, 0.000, 0.000], [0.066, 0.000, 0.638], [0.391, 0.000, 0.316], [0.500, 0.500, 0.000], [0.566, 0.500, 0.638], [0.891, 0.500, 0.316], [0.175, 0.500, 0.342], [0.241, 0.500, 0.962], [0.304, 0.000, 0.666], [0.675, 0.000, 0.342], [0.741, 0.000, 0.962], [0.804, 0.500, 0.666]],
  "delta_e_f_mev_per_atom": 237,
  "polymorph_energy_mev_per_atom": 0,
  "n_ef_per_ev_cell": 3.07
}

6.
{
  "formula": "KSiAs2Br",
  "functional": "SCAN",
  "state": "PBEsol geometry",
  "cell": [[4.694, 0.000, 0.000], [0.000, 4.694, 0.000], [0.000, 0.000, 6.151]],
  "species": ["K", "Si", "As", "As", "Br"],
  "frac_coords": [[0.000, 0.000, 0.000], [0.500, 0.500, 0.500], [0.000, 0.500, 0.500], [0.500, 0.000, 0.500], [0.500, 0.500, 0.000]],
  "n_ef_per_ev_cell": 3.40,
  "e_form_raw_mev_per_atom": -74.8
}

7.
{
  "formula": "Re2Se",
  "functional": "SCAN",
  "state": "PBEsol geometry",
  "cell": [[2.879, 0.000, 0.000], [-1.440, 2.493, 0.000], [0.000, 0.000, 6.261]],
  "species": ["Re", "Re", "Se"],
  "frac_coords": [[0.333, 0.667, 0.164], [0.667, 0.333, 0.836], [0.000, 0.000, 0.500]],
  "polymorph_energy_mev_per_atom": 0,
  "n_ef_per_ev_cell": 1.63,
  "e_form_raw_mev_per_atom": 410.0
}

8.
{
  "formula": "K3AlTc",
  "functional": "SCAN",
  "state": "PBEsol geometry",
  "cell": [[6.094, 0.000, 0.000], [0.000, 6.094, 0.000], [0.000, 0.000, 6.094]],
  "species": ["K", "K", "K", "Al", "Tc"],
  "frac_coords": [[0.000, 0.000, 0.500], [0.000, 0.500, 0.000], [0.500, 0.000, 0.000], [0.500, 0.500, 0.500], [0.000, 0.000, 0.000]],
  "delta_e_f_mev_per_atom": 1419,
  "n_ef_per_ev_cell": 6.94
}

9.
{
  "formula": "KSc2Au",
  "functional": "SCAN",
  "state": "PBEsol geometry",
  "cell": [[3.720, 0.000, 0.000], [-1.860, 3.222, 0.000], [0.000, 0.000, 30.565]],
  "species": ["K", "K", "K", "Sc", "Sc", "Sc", "Sc", "Sc", "Sc", "Au", "Au", "Au"],
  "frac_coords": [[0.000, 0.000, 0.000], [0.333, 0.667, 0.667], [0.667, 0.333, 0.333], [0.000, 0.000, 0.221], [0.000, 0.000, 0.779], [0.333, 0.667, 0.446], [0.333, 0.667, 0.887], [0.667, 0.333, 0.113], [0.667, 0.333, 0.554], [0.000, 0.000, 0.500], [0.333, 0.667, 0.167], [0.667, 0.333, 0.833]],
  "delta_e_f_mev_per_atom": -142,
  "polymorph_energy_mev_per_atom": 84,
  "n_ef_per_ev_cell": 15.38
}

10.
{
  "formula": "LiGaNF2",
  "functional": "SCAN",
  "state": "PBEsol geometry",
  "cell": [[3.373, 0.000, 0.000], [0.000, 3.373, 0.000], [0.000, 0.000, 4.166]],
  "species": ["Li", "Ga", "N", "F", "F"],
  "frac_coords": [[0.000, 0.000, 0.000], [0.500, 0.500, 0.500], [0.000, 0.000, 0.500], [0.000, 0.500, 0.000], [0.500, 0.000, 0.000]],
  "n_ef_per_ev_cell": 0.58,
  "e_form_raw_mev_per_atom": -886.9
}

11.
{
  "formula": "SrBe2Pt",
  "functional": "SCAN",
  "state": "PBEsol geometry",
  "cell": [[3.980, 0.000, 0.000], [-1.990, 3.447, 0.000], [0.000, 0.000, 16.194]],
  "species": ["Sr", "Sr", "Sr", "Be", "Be", "Be", "Be", "Be", "Be", "Pt", "Pt", "Pt"],
  "frac_coords": [[0.000, 0.000, 0.000], [0.333, 0.667, 0.667], [0.667, 0.333, 0.333], [0.000, 0.000, 0.509], [0.000, 0.000, 0.824], [0.333, 0.667, 0.176], [0.333, 0.667, 0.490], [0.667, 0.333, 0.157], [0.667, 0.333, 0.842], [0.000, 0.000, 0.186], [0.333, 0.667, 0.853], [0.667, 0.333, 0.520]],
  "delta_e_f_mev_per_atom": -634,
  "polymorph_energy_mev_per_atom": 36,
  "n_ef_per_ev_cell": 5.97
}

12.
{
  "formula": "BaHgSe2",
  "functional": "SCAN",
  "state": "PBEsol geometry",
  "cell": [[4.144, 0.000, 0.000], [-2.072, 3.589, 0.000], [0.000, 0.000, 27.122]],
  "species": ["Ba", "Ba", "Ba", "Hg", "Hg", "Hg", "Se", "Se", "Se", "Se", "Se", "Se"],
  "frac_coords": [[0.000, 0.000, 0.000], [0.333, 0.667, 0.667], [0.667, 0.333, 0.333], [0.000, 0.000, 0.500], [0.333, 0.667, 0.167], [0.667, 0.333, 0.833], [0.000, 0.000, 0.113], [0.000, 0.000, 0.887], [0.333, 0.667, 0.554], [0.333, 0.667, 0.780], [0.667, 0.333, 0.220], [0.667, 0.333, 0.446]],
  "n_ef_per_ev_cell": 8.42,
  "e_form_raw_mev_per_atom": -240.4
}

13.
{
  "formula": "Cd2InPb",
  "functional": "SCAN",
  "state": "PBEsol geometry",
  "cell": [[6.467, 0.000, 0.000], [0.000, 10.168, 0.000], [-1.257, 0.000, 3.053]],
  "species": ["Cd", "Cd", "Cd", "Cd", "In", "In", "Pb", "Pb"],
  "frac_coords": [[0.250, 0.250, 0.000], [0.250, 0.750, 0.000], [0.750, 0.250, 0.000], [0.750, 0.750, 0.000], [0.000, 0.000, 0.500], [0.500, 0.500, 0.500], [0.000, 0.500, 0.500], [0.500, 0.000, 0.500]],
  "delta_e_f_mev_per_atom": 116,
  "polymorph_energy_mev_per_atom": 53,
  "n_ef_per_ev_cell": 3.27
}

14.
{
  "formula": "MgAg",
  "functional": "SCAN",
  "state": "PBEsol geometry",
  "cell": [[5.247, 0.000, 0.000], [0.000, 5.247, 0.000], [0.000, 0.000, 5.247]],
  "species": ["Mg", "Mg", "Mg", "Mg", "Ag", "Ag", "Ag", "Ag"],
  "frac_coords": [[0.095, 0.095, 0.095], [0.405, 0.905, 0.595], [0.595, 0.405, 0.905], [0.905, 0.595, 0.405], [0.101, 0.601, 0.899], [0.399, 0.399, 0.399], [0.601, 0.899, 0.101], [0.899, 0.101, 0.601]],
  "delta_e_f_mev_per_atom": -219,
  "n_ef_per_ev_cell": 2.54
}

15.
{
  "formula": "Mg2ScTl",
  "functional": "SCAN",
  "state": "PBEsol geometry",
  "cell": [[4.339, 0.000, 0.000], [0.000, 4.339, 0.000], [0.000, 0.000, 4.604]],
  "species": ["Mg", "Mg", "Sc", "Tl"],
  "frac_coords": [[0.000, 0.500, 0.000], [0.500, 0.000, 0.000], [0.000, 0.000, 0.500], [0.500, 0.500, 0.500]],
  "delta_e_f_mev_per_atom": -316,
  "polymorph_energy_mev_per_atom": 0,
  "n_ef_per_ev_cell": 2.22
}

16.
{
  "formula": "NiTeRh",
  "functional": "SCAN",
  "state": "PBEsol geometry",
  "cell": [[5.827, 0.000, 0.000], [0.000, 5.827, 0.000], [0.000, 0.000, 5.827]],
  "species": ["Ni", "Ni", "Ni", "Ni", "Te", "Te", "Te", "Te", "Rh", "Rh", "Rh", "Rh"],
  "frac_coords": [[0.000, 0.000, 0.000], [0.000, 0.500, 0.500], [0.500, 0.000, 0.500], [0.500, 0.500, 0.000], [0.250, 0.250, 0.750], [0.250, 0.750, 0.250], [0.750, 0.250, 0.250], [0.750, 0.750, 0.750], [0.250, 0.250, 0.250], [0.250, 0.750, 0.750], [0.750, 0.250, 0.750], [0.750, 0.750, 0.250]],
  "n_ef_per_ev_cell": 14.04,
  "e_form_raw_mev_per_atom": 19.3
}

17.
{
  "formula": "HgP2ClF",
  "functional": "SCAN",
  "state": "PBEsol geometry",
  "cell": [[4.079, 0.000, 0.000], [0.000, 4.079, 0.000], [0.000, 0.000, 5.696]],
  "species": ["Hg", "P", "P", "Cl", "F"],
  "frac_coords": [[0.000, 0.000, 0.000], [0.000, 0.500, 0.500], [0.500, 0.000, 0.500], [0.500, 0.500, 0.000], [0.500, 0.500, 0.500]],
  "n_ef_per_ev_cell": 2.10,
  "e_form_raw_mev_per_atom": 498.1
}

18.
{
  "formula": "Nd4CdPd",
  "functional": "SCAN",
  "state": "PBEsol geometry",
  "cell": [[0.000, 6.943, 6.943], [6.943, 0.000, 6.943], [6.943, 6.943, 0.000]],
  "species": ["Nd", "Nd", "Nd", "Nd", "Nd", "Nd", "Nd", "Nd", "Nd", "Nd", "Nd", "Nd", "Nd", "Nd", "Nd", "Nd", "Cd", "Cd", "Cd", "Cd", "Pd", "Pd", "Pd", "Pd"],
  "frac_coords": [[0.186, 0.186, 0.814], [0.186, 0.814, 0.186], [0.186, 0.814, 0.814], [0.398, 0.398, 0.398], [0.398, 0.398, 0.806], [0.398, 0.806, 0.398], [0.556, 0.556, 0.944], [0.556, 0.944, 0.556], [0.556, 0.944, 0.944], [0.806, 0.398, 0.398], [0.814, 0.186, 0.186], [0.814, 0.186, 0.814], [0.814, 0.814, 0.186], [0.944, 0.556, 0.556], [0.944, 0.556, 0.944], [0.944, 0.944, 0.556], [0.170, 0.170, 0.170], [0.170, 0.170, 0.489], [0.170, 0.489, 0.170], [0.489, 0.170, 0.170], [0.182, 0.606, 0.606], [0.606, 0.182, 0.606], [0.606, 0.606, 0.182], [0.606, 0.606, 0.606]],
  "delta_e_f_mev_per_atom": -485,
  "n_ef_per_ev_cell": 15.88
}

19.
{
  "formula": "CaAlCo",
  "functional": "SCAN",
  "state": "PBEsol geometry",
  "cell": [[6.481, 0.000, 0.000], [0.000, 6.481, 0.000], [0.000, 0.000, 6.481]],
  "species": ["Ca", "Ca", "Ca", "Ca", "Al", "Al", "Al", "Al", "Co", "Co", "Co", "Co"],
  "frac_coords": [[0.000, 0.000, 0.000], [0.000, 0.500, 0.500], [0.500, 0.000, 0.500], [0.500, 0.500, 0.000], [0.250, 0.250, 0.750], [0.250, 0.750, 0.250], [0.750, 0.250, 0.250], [0.750, 0.750, 0.750], [0.250, 0.250, 0.250], [0.250, 0.750, 0.750], [0.750, 0.250, 0.750], [0.750, 0.750, 0.250]],
  "delta_e_f_mev_per_atom": 1011,
  "n_ef_per_ev_cell": 14.87
}

20.
{
  "formula": "Sc2AlRh",
  "functional": "SCAN",
  "state": "PBEsol geometry",
  "cell": [[3.130, 0.000, 0.000], [-1.565, 2.711, 0.000], [0.000, 0.000, 26.424]],
  "species": ["Sc", "Sc", "Sc", "Sc", "Sc", "Sc", "Al", "Al", "Al", "Rh", "Rh", "Rh"],
  "frac_coords": [[0.000, 0.000, 0.000], [0.000, 0.000, 0.231], [0.333, 0.667, 0.667], [0.333, 0.667, 0.898], [0.667, 0.333, 0.333], [0.667, 0.333, 0.565], [0.000, 0.000, 0.475], [0.333, 0.667, 0.141], [0.667, 0.333, 0.808], [0.000, 0.000, 0.742], [0.333, 0.667, 0.409], [0.667, 0.333, 0.075]],
  "delta_e_f_mev_per_atom": -404,
  "n_ef_per_ev_cell": 7.61
}

21.
{
  "formula": "MgTcTe2I",
  "functional": "SCAN",
  "state": "PBEsol geometry",
  "cell": [[5.395, 0.000, 0.000], [0.000, 5.395, 0.000], [0.000, 0.000, 5.408]],
  "species": ["Mg", "Tc", "Te", "Te", "I"],
  "frac_coords": [[0.000, 0.000, 0.000], [0.500, 0.500, 0.500], [0.000, 0.500, 0.000], [0.500, 0.000, 0.000], [0.000, 0.000, 0.500]],
  "n_ef_per_ev_cell": 3.17,
  "e_form_raw_mev_per_atom": 726.3
}

22.
{
  "formula": "HoAgHg2",
  "functional": "SCAN",
  "state": "PBEsol geometry",
  "cell": [[6.915, 0.000, 0.000], [0.000, 6.915, 0.000], [0.000, 0.000, 6.915]],
  "species": ["Ho", "Ho", "Ho", "Ho", "Ag", "Ag", "Ag", "Ag", "Hg", "Hg", "Hg", "Hg", "Hg", "Hg", "Hg", "Hg"],
  "frac_coords": [[0.000, 0.000, 0.000], [0.000, 0.500, 0.500], [0.500, 0.000, 0.500], [0.500, 0.500, 0.000], [0.000, 0.000, 0.500], [0.000, 0.500, 0.000], [0.500, 0.000, 0.000], [0.500, 0.500, 0.500], [0.250, 0.250, 0.250], [0.250, 0.250, 0.750], [0.250, 0.750, 0.250], [0.250, 0.750, 0.750], [0.750, 0.250, 0.250], [0.750, 0.250, 0.750], [0.750, 0.750, 0.250], [0.750, 0.750, 0.750]],
  "delta_e_f_mev_per_atom": -449,
  "n_ef_per_ev_cell": 6.55
}

23.
{
  "formula": "KAlHg3",
  "functional": "SCAN",
  "state": "PBEsol geometry",
  "cell": [[5.236, 0.000, 0.000], [0.000, 5.236, 0.000], [0.000, 0.000, 5.236]],
  "species": ["K", "Al", "Hg", "Hg", "Hg"],
  "frac_coords": [[0.000, 0.000, 0.000], [0.500, 0.500, 0.500], [0.000, 0.500, 0.500], [0.500, 0.000, 0.500], [0.500, 0.500, 0.000]],
  "delta_e_f_mev_per_atom": -224,
  "n_ef_per_ev_cell": 2.00
}

24.
{
  "formula": "Zr2HgAs",
  "functional": "SCAN",
  "state": "PBEsol geometry",
  "cell": [[4.000, 0.000, 0.000], [0.000, 4.960, 0.000], [0.000, 0.000, 7.979]],
  "species": ["Zr", "Zr", "Zr", "Zr", "Hg", "Hg", "As", "As"],
  "frac_coords": [[0.000, 0.000, 0.232], [0.000, 0.000, 0.768], [0.500, 0.500, 0.268], [0.500, 0.500, 0.732], [0.000, 0.500, 0.000], [0.500, 0.000, 0.500], [0.000, 0.500, 0.500], [0.500, 0.000, 0.000]],
  "delta_e_f_mev_per_atom": -618,
  "polymorph_energy_mev_per_atom": 0,
  "n_ef_per_ev_cell": 6.05
}

25.
{
  "formula": "CuAsRh3",
  "functional": "SCAN",
  "state": "PBEsol geometry",
  "cell": [[4.443, 0.000, 0.000], [0.000, 4.443, 0.000], [0.000, 0.000, 4.443]],
  "species": ["Cu", "As", "Rh", "Rh", "Rh"],
  "frac_coords": [[0.000, 0.000, 0.000], [0.500, 0.500, 0.500], [0.000, 0.500, 0.500], [0.500, 0.000, 0.500], [0.500, 0.500, 0.000]],
  "delta_e_f_mev_per_atom": 606,
  "n_ef_per_ev_cell": 5.76
}

26.
{
  "formula": "Dy2Au",
  "functional": "SCAN",
  "state": "PBEsol geometry",
  "cell": [[6.949, 0.000, 0.000], [0.000, 4.881, 0.000], [0.000, 0.000, 8.811]],
  "species": ["Dy", "Dy", "Dy", "Dy", "Dy", "Dy", "Dy", "Dy", "Au", "Au", "Au", "Au"],
  "frac_coords": [[0.010, 0.250, 0.178], [0.153, 0.250, 0.582], [0.347, 0.750, 0.082], [0.490, 0.750, 0.678], [0.510, 0.250, 0.322], [0.653, 0.250, 0.918], [0.847, 0.750, 0.418], [0.990, 0.750, 0.822], [0.242, 0.250, 0.903], [0.258, 0.750, 0.403], [0.742, 0.250, 0.597], [0.758, 0.750, 0.097]],
  "delta_e_f_mev_per_atom": -879,
  "n_ef_per_ev_cell": 10.96
}

27.
{
  "formula": "KSrSe2",
  "functional": "SCAN",
  "state": "PBEsol geometry",
  "cell": [[6.644, 0.000, 0.000], [0.000, 7.932, 0.000], [0.000, 0.000, 3.997]],
  "species": ["K", "K", "Sr", "Sr", "Se", "Se", "Se", "Se"],
  "frac_coords": [[0.000, 0.000, 0.000], [0.500, 0.500, 0.000], [0.000, 0.500, 0.000], [0.500, 0.000, 0.000], [0.250, 0.250, 0.500], [0.250, 0.750, 0.500], [0.750, 0.250, 0.500], [0.750, 0.750, 0.500]],
  "n_ef_per_ev_cell": 1.58,
  "e_form_raw_mev_per_atom": -1469.2
}